1.
# VCdO3 (GGA+U, relaxed)
data_VCdO3
_space_group_name_H-M_alt 'A m a 2'
_space_group_IT_number 40
_cell_length_a 3.728
_cell_length_b 14.277
_cell_length_c 5.335
_cell_angle_alpha 90.00
_cell_angle_beta 90.00
_cell_angle_gamma 90.00
loop_
_space_group_symop_operation_xyz
'x,y,z'
'-x,-y,z'
'-x+1/2,y,z'
'x+1/2,-y,z'
'x,y+1/2,z+1/2'
'-x,-y+1/2,z+1/2'
'-x+1/2,y+1/2,z+1/2'
'x+1/2,-y+1/2,z+1/2'
loop_
_atom_site_label
_atom_site_type_symbol
_atom_site_fract_x
_atom_site_fract_y
_atom_site_fract_z
V1 V 0.250 0.083 0.000
Cd1 Cd 0.250 0.322 0.043
O1 O 0.250 0.113 0.312
O2 O 0.250 0.192 0.796
O3 O 0.250 0.445 0.422
# * total magnetic moment: 0.2000 μB per atom
# * E_tot: -125.5 eV/cell
# * volume: 71.0 Å³/f.u.

2.
# V3CdO9 (GGA+U, relaxed)
data_V3CdO9
_space_group_name_H-M_alt 'C 2 2 21'
_space_group_IT_number 20
_cell_length_a 9.637
_cell_length_b 11.251
_cell_length_c 7.786
_cell_angle_alpha 90.00
_cell_angle_beta 90.00
_cell_angle_gamma 90.00
loop_
_space_group_symop_operation_xyz
'x,y,z'
'-x,-y,z+1/2'
'x,-y,-z'
'-x,y,-z+1/2'
'x+1/2,y+1/2,z'
'-x+1/2,-y+1/2,z+1/2'
'x+1/2,-y+1/2,-z'
'-x+1/2,y+1/2,-z+1/2'
loop_
_atom_site_label
_atom_site_type_symbol
_atom_site_fract_x
_atom_site_fract_y
_atom_site_fract_z
V1 V 0.019 0.205 0.025
V2 V 0.233 0.000 0.500
Cd1 Cd 0.166 0.500 0.500
O1 O 0.000 0.183 0.250
O2 O 0.003 0.351 0.522
O3 O 0.121 0.119 0.565
O4 O 0.174 0.151 0.963
O5 O 0.176 0.472 0.817
# * total magnetic moment: 0.0781 μB per atom
# * E_tot: -350.4 eV/cell
# * volume: 211.1 Å³/f.u.

Please write out number 2 again, unchanged.
# V3CdO9 (GGA+U, relaxed)
data_V3CdO9
_space_group_name_H-M_alt 'C 2 2 21'
_space_group_IT_number 20
_cell_length_a 9.637
_cell_length_b 11.251
_cell_length_c 7.786
_cell_angle_alpha 90.00
_cell_angle_beta 90.00
_cell_angle_gamma 90.00
loop_
_space_group_symop_operation_xyz
'x,y,z'
'-x,-y,z+1/2'
'x,-y,-z'
'-x,y,-z+1/2'
'x+1/2,y+1/2,z'
'-x+1/2,-y+1/2,z+1/2'
'x+1/2,-y+1/2,-z'
'-x+1/2,y+1/2,-z+1/2'
loop_
_atom_site_label
_atom_site_type_symbol
_atom_site_fract_x
_atom_site_fract_y
_atom_site_fract_z
V1 V 0.019 0.205 0.025
V2 V 0.233 0.000 0.500
Cd1 Cd 0.166 0.500 0.500
O1 O 0.000 0.183 0.250
O2 O 0.003 0.351 0.522
O3 O 0.121 0.119 0.565
O4 O 0.174 0.151 0.963
O5 O 0.176 0.472 0.817
# * total magnetic moment: 0.0781 μB per atom
# * E_tot: -350.4 eV/cell
# * volume: 211.1 Å³/f.u.